# 1
PrNd8Y6 (PBE-GGA, relaxed); uncorrected energy = -80.0 eV/cell; spin magnetization = 0.00 μB/f.u.; N(E_F) = 23.50 states/eV per cell; ΔE_f = 0.1152 eV/atom; SG = No. 148
1.0
-8.025 -0.047 -4.512
-7.000 -5.106 3.111
-7.230 3.701 3.427
Pr Nd Y
1 8 6
Direct
0.000 0.000 0.000
0.248 0.285 0.581
0.715 0.114 0.419
0.114 0.752 0.419
0.577 0.577 0.268
0.423 0.423 0.732
0.886 0.248 0.581
0.285 0.886 0.581
0.752 0.715 0.419
0.464 0.904 0.882
0.096 0.250 0.118
0.250 0.536 0.118
0.750 0.464 0.882
0.904 0.750 0.882
0.536 0.096 0.118



# 2
PrNd5Y6 (PBE-GGA, relaxed); uncorrected energy = -67.3 eV/cell; spin magnetization = 0.00 μB/f.u.; excess energy over the best structure of this formula in the dataset = 0 meV/atom; N(E_F) = 14.02 states/eV per cell; ΔE_f = 0.0076 eV/atom; SG = No. 12
1.0
11.833 -1.303 0.000
1.779 6.049 0.000
0.889 3.024 5.457
Pr Nd Y
1 5 6
Direct
0.000 0.000 0.000
0.500 0.167 0.667
0.000 0.333 0.333
0.500 0.500 0.000
0.000 0.667 0.667
0.500 0.833 0.333
0.750 0.083 0.333
0.250 0.583 0.333
0.250 0.250 0.000
0.750 0.750 0.000
0.750 0.417 0.667
0.250 0.917 0.667



# 3
Pr2Nd4Y (PBE-GGA, relaxed); uncorrected energy = -35.0 eV/cell; spin magnetization = 0.00 μB/f.u.; excess energy over the best structure of this formula in the dataset = 0 meV/atom; N(E_F) = 9.36 states/eV per cell; ΔE_f = 0.0092 eV/atom; SG = No. 166
1.0
-0.943 -0.205 -3.550
-2.838 -2.102 -1.031
-14.230 15.519 0.975
Pr Nd Y
2 4 1
Direct
0.428 0.428 0.716
0.572 0.572 0.284
0.143 0.143 0.571
0.287 0.287 0.140
0.713 0.713 0.860
0.857 0.857 0.429
0.000 0.000 0.000